6
Lattice="4.499 0.000 0.000 0.000 4.499 0.000 0.000 0.000 8.115" Properties=species:S:1:pos:R:3 comment="SrPuNi, relaxed, DFT PBE" spacegroup="P4/nmm, No. 129" crystal_system=tetragonal pbc="T T T"
Sr 1.125 1.125 1.134
Sr 3.374 3.374 6.981
Pu 1.125 3.374 4.058
Pu 3.374 1.125 4.058
Ni 1.125 1.125 5.774
Ni 3.374 3.374 2.341

=====

4
Lattice="3.483 0.000 0.000 0.000 3.483 0.000 0.000 0.000 7.097" Properties=species:S:1:pos:R:3 comment="SrPuNi2, relaxed, DFT PBE" spacegroup="P4/mmm, No. 123" crystal_system=tetragonal pbc="T T T"
Sr 0.000 0.000 0.000
Pu 0.000 0.000 3.549
Ni 1.741 1.741 2.206
Ni 1.741 1.741 4.891

=====

6
Lattice="0.000 3.648 3.648 3.648 0.000 3.648 3.648 3.648 0.000" Properties=species:S:1:pos:R:3 comment="SrPuNi4, relaxed, DFT PBE" spacegroup="F-43m, No. 216" crystal_system=cubic pbc="T T T"
Sr 0.000 0.000 0.000
Pu 1.824 1.824 1.824
Ni 4.548 2.748 2.748
Ni 2.748 4.548 2.748
Ni 2.748 2.748 4.548
Ni 4.548 4.548 4.548

=====

12
Lattice="3.953 0.000 0.000 0.000 4.972 0.000 0.000 0.000 8.605" Properties=species:S:1:pos:R:3 comment="SrPuNi10, relaxed, DFT PBE" spacegroup="Pmmm, No. 47" crystal_system=orthorhombic pbc="T T T"
Sr 0.000 0.000 0.000
Pu 0.000 2.486 4.302
Ni 0.000 0.000 2.932
Ni 0.000 0.000 5.673
Ni 0.000 2.486 1.537
Ni 0.000 2.486 7.068
Ni 1.976 0.000 4.302
Ni 1.976 1.272 2.229
Ni 1.976 1.272 6.376
Ni 1.976 2.486 0.000
Ni 1.976 3.700 2.229
Ni 1.976 3.700 6.376

=====

12
Lattice="3.961 0.000 0.000 0.000 4.748 0.000 0.000 0.000 8.267" Properties=species:S:1:pos:R:3 comment="PuTaNi10, relaxed, DFT PBE" spacegroup="Pmmm, No. 47" crystal_system=orthorhombic pbc="T T T"
Pu 0.000 0.000 0.000
Ta 0.000 2.374 4.133
Ni 0.000 0.000 2.832
Ni 0.000 0.000 5.435
Ni 0.000 2.374 1.479
Ni 0.000 2.374 6.787
Ni 1.981 0.000 4.133
Ni 1.981 1.213 2.153
Ni 1.981 1.213 6.114
Ni 1.981 2.374 0.000
Ni 1.981 3.534 2.153
Ni 1.981 3.534 6.114

=====

12
Lattice="0.000 4.317 9.044 2.715 0.000 9.044 2.715 4.317 0.000" Properties=species:S:1:pos:R:3 comment="PuTaNi, relaxed, DFT PBE" spacegroup="Fddd, No. 70" crystal_system=orthorhombic pbc="T T T"
Pu 0.679 1.079 0.850
Pu 0.679 1.079 3.672
Pu 4.752 7.556 14.415
Pu 4.752 7.556 17.238
Ta 2.037 1.743 6.783
Ta 3.394 3.901 11.305
Ta 2.037 4.733 6.783
Ta 3.394 6.892 11.305
Ni 2.037 3.238 4.568
Ni 2.037 3.238 8.998
Ni 3.394 5.397 9.090
Ni 3.394 5.397 13.520

=====

Number 1: energy of formation from the pure elements 37 meV/atom, spin magnetization 6.0 μB per formula unit. Number 2: energy of formation from the pure elements 26 meV/atom, spin magnetization 5.2 μB per formula unit. Number 3: energy of formation from the pure elements -36 meV/atom, spin magnetization 4.6 μB per formula unit. Number 4: energy of formation from the pure elements -108 meV/atom, spin magnetization 0.9 μB per formula unit. Number 5: energy of formation from the pure elements -112 meV/atom, spin magnetization 2.2 μB per formula unit. Number 6: energy of formation from the pure elements -14 meV/atom, spin magnetization 4.7 μB per formula unit.